Record 1
Below is an optimized crystal structure of ZrBe8Os3, with properties calculated at the GGA-PBE level.

Properties
Uncorrected energy in eV/atom: -6.35
ΔH_f (0 K) in meV/atom: -344.6
Total magnetization in μB/f.u.: 0.00

Unit cell a=4.429 b=4.429 c=7.361 alpha=90.00 beta=90.00 gamma=120.00
Atoms (fractional coordinates):
Be: 0.333 0.667 0.487
Be: 0.166 0.332 0.237
Be: 0.166 0.834 0.237
Be: 0.333 0.667 0.003
Os: 0.667 0.333 0.065
Os: 0.667 0.333 0.429
Be: 0.503 0.497 0.769
Be: 0.668 0.834 0.237
Be: 0.994 0.497 0.769
Be: 0.503 0.006 0.769
Os: 0.000 0.000 0.936
Zr: 0.000 0.000 0.563

Record 2
Below is an optimized crystal structure of PmSn2Pd, with properties calculated at the GGA-PBE level.

Properties
Uncorrected energy in eV/atom: -5.01
ΔH_f (0 K) in meV/atom: -520.9
Total magnetization in μB/f.u.: 0.00

Unit cell a=3.459 b=3.459 c=7.693 alpha=90.00 beta=90.00 gamma=90.00
Atoms (fractional coordinates):
Sn: 0.000 0.000 0.206
Sn: 0.000 0.000 0.794
Pd: 0.500 0.500 0.000
Pm: 0.500 0.500 0.500

Record 3
Below is an optimized crystal structure of Er2Tm5Th, with properties calculated at the GGA-PBE level.

Properties
Uncorrected energy in eV/atom: -4.84
ΔH_f (0 K) in meV/atom: 27.6
Total magnetization in μB/f.u.: 0.00

Unit cell a=4.957 b=7.011 c=14.052 alpha=90.00 beta=90.00 gamma=90.00
Atoms (fractional coordinates):
Tm: 0.500 0.745 0.124
Tm: 0.000 0.502 0.751
Tm: 0.000 0.500 0.500
Er: 0.500 0.247 0.624
Tm: 0.500 0.755 0.624
Th: 0.000 0.500 0.000
Tm: 0.000 0.498 0.249
Er: 0.500 0.753 0.376
Tm: 0.000 0.000 0.000
Tm: 0.500 0.245 0.376
Tm: 0.500 0.255 0.876
Th: 0.000 0.000 0.500
Er: 0.500 0.253 0.124
Tm: 0.000 0.998 0.251
Tm: 0.000 0.002 0.749
Er: 0.500 0.747 0.876

Record 4
Below is an optimized crystal structure of Sc2SbSe, with properties calculated at the GGA-PBE level.

Properties
Uncorrected energy in eV/atom: -6.33
E_form (uncorrected) in eV/atom: -1.2640
Total magnetization in μB/f.u.: 0.00

Unit cell a=4.002 b=4.002 c=7.010 alpha=73.49 beta=73.49 gamma=60.02
Atoms (fractional coordinates):
Sc: 0.495 0.495 0.516
Sb: 0.250 0.250 0.250
Se: 0.750 0.750 0.750
Sc: 0.005 0.005 0.984

Record 5
Below is an optimized crystal structure of ScAg2Mo, with properties calculated at the GGA-PBE level.

Properties
Uncorrected energy in eV/atom: -5.33
ΔH_f (0 K) in meV/atom: 381.9
Total magnetization in μB/f.u.: 1.09

Unit cell a=4.701 b=4.701 c=4.701 alpha=60.00 beta=60.00 gamma=60.00
Each line ends with the local moment (μB).
Atoms (fractional coordinates):
Ag: 0.250 0.250 0.250  0.03
Mo: 0.500 0.500 0.500  0.94
Sc: 0.000 0.000 0.000  -0.01
Ag: 0.750 0.750 0.750  0.03

Record 6
Below is an optimized crystal structure of AlTe2W, with properties calculated at the GGA-PBE level.

Properties
Uncorrected energy in eV/atom: -5.27
E_form (uncorrected) in eV/atom: 0.4791
Total magnetization in μB/f.u.: 0.00

Unit cell a=3.152 b=3.152 c=10.062 alpha=90.00 beta=90.00 gamma=113.46
Atoms (fractional coordinates):
Al: 0.500 0.500 0.720
Te: 0.000 0.000 0.951
Te: 0.500 0.500 0.309
W: 0.000 0.000 0.520

Record 7
Below is an optimized crystal structure of PmNd2Ho, with properties calculated at the GGA-PBE level.

Properties
Uncorrected energy in eV/atom: -4.70
ΔH_f (0 K) in meV/atom: 17.8
Total magnetization in μB/f.u.: 0.00

Unit cell a=3.647 b=3.647 c=11.995 alpha=81.25 beta=81.25 gamma=60.00
Atoms (fractional coordinates):
Nd: 0.082 0.082 0.754
Pm: 0.500 0.500 0.501
Nd: 0.251 0.251 0.246
Ho: 0.667 0.667 0.999

Record 8
Below is an optimized crystal structure of NaCoRu, with properties calculated at the GGA-PBE level.

Properties
Uncorrected energy in eV/atom: -5.31
ΔH_f (0 K) in meV/atom: 589.4
Total magnetization in μB/f.u.: 1.66

Unit cell a=10.186 b=5.563 c=5.563 alpha=152.73 beta=140.35 gamma=39.65
Each line ends with the local moment (μB).
Atoms (fractional coordinates):
Na: 0.321 0.337 0.663  -0.01
Ru: 0.090 0.248 0.752  0.14
Co: 0.665 0.675 0.325  1.53
Co: 0.733 0.945 0.055  1.52
Ru: 0.467 0.488 0.512  0.19
Na: 0.951 0.093 0.907  -0.01

Record 9
Below is an optimized crystal structure of K2CdO, with properties calculated at the GGA-PBE level.

Properties
Uncorrected energy in eV/atom: -2.32
E_form (uncorrected) in eV/atom: -0.2998
Total magnetization in μB/f.u.: 0.00

Unit cell a=5.309 b=5.309 c=5.309 alpha=60.00 beta=60.00 gamma=60.00
Atoms (fractional coordinates):
K: 0.250 0.250 0.250
Cd: 0.500 0.500 0.500
K: 0.750 0.750 0.750
O: 0.000 0.000 0.000

Record 10
Below is an optimized crystal structure of Ca9PrF20, with properties calculated at the GGA-PBE level.

Properties
Uncorrected energy in eV/atom: -5.88
E_form (uncorrected) in eV/atom: -3.8684
Total magnetization in μB/f.u.: 1.00

Unit cell a=7.843 b=8.816 c=13.023 alpha=101.76 beta=90.44 gamma=103.02
Each line ends with the local moment (μB).
Atoms (fractional coordinates):
Ca: 0.972 0.410 0.352  0.00
F: 0.759 0.553 0.324  0.00
Ca: 0.572 0.798 0.956  0.00
F: 0.177 0.264 0.375  0.01
F: 0.139 0.051 0.074  0.00
Ca: 0.377 0.997 0.747  0.02
F: 0.163 0.151 0.723  0.00
F: 0.307 0.746 0.627  0.01
Ca: 0.428 0.202 0.044  0.00
F: 0.565 0.749 0.126  0.00
F: 0.039 0.649 0.475  0.00
Pr: 0.135 0.003 0.256  0.29
Ca: 0.077 0.799 0.950  0.00
Ca: 0.525 0.603 0.650  0.02
F: 0.790 0.653 0.977  0.00
Ca: 0.923 0.201 0.050  0.00
F: 0.837 0.849 0.277  0.00
Ca: 0.815 0.797 0.454  0.02
F: 0.861 0.949 0.926  0.00
F: 0.435 0.251 0.874  0.00
F: 0.360 0.949 0.926  0.00
F: 0.913 0.154 0.226  0.00
F: 0.661 0.165 0.732  0.01
F: 0.823 0.736 0.625  0.01
F: 0.902 0.061 0.571  0.01
F: 0.617 0.948 0.422  0.01
F: 0.418 0.155 0.213  0.01
Ca: 0.724 0.409 0.851  0.00
Ca: 0.276 0.591 0.149  0.00
F: 0.582 0.845 0.787  0.01
F: 0.264 0.550 0.324  0.00
F: 0.640 0.051 0.074  0.00
F: 0.693 0.254 0.373  0.01
F: 0.466 0.356 0.527  0.01
F: 0.087 0.846 0.774  0.00
F: 0.066 0.746 0.125  0.00
F: 0.713 0.352 0.024  0.00
Ca: 0.185 0.203 0.546  0.02
F: 0.287 0.648 0.976  0.00
Pr: 0.865 0.997 0.744  0.29
Ca: 0.331 0.804 0.453  0.02
F: 0.489 0.449 0.172  0.00
F: 0.015 0.550 0.826  0.00
F: 0.736 0.450 0.676  0.00
Ca: 0.475 0.397 0.350  0.02
F: 0.098 0.939 0.429  0.01
F: 0.241 0.447 0.676  0.00
F: 0.339 0.835 0.268  0.01
Ca: 0.623 0.003 0.253  0.02
F: 0.210 0.347 0.023  0.00
F: 0.383 0.052 0.578  0.01
Ca: 0.669 0.196 0.547  0.02
Ca: 0.028 0.590 0.648  0.00
F: 0.985 0.450 0.174  0.00
Ca: 0.773 0.600 0.151  0.00
F: 0.961 0.351 0.525  0.00
F: 0.534 0.644 0.473  0.01
F: 0.934 0.254 0.875  0.00
F: 0.511 0.551 0.828  0.00
Ca: 0.227 0.400 0.849  0.00

Record 11
Below is an optimized crystal structure of Tb5ZrBi4, with properties calculated at the GGA-PBE level.

Properties
Uncorrected energy in eV/atom: -5.11
ΔH_f (0 K) in meV/atom: -391.2
Total magnetization in μB/f.u.: 0.00

Unit cell a=4.344 b=8.384 c=9.669 alpha=106.07 beta=102.98 gamma=90.00
Atoms (fractional coordinates):
Tb: 0.816 0.649 0.633
Bi: 0.011 0.251 0.021
Tb: 0.500 0.500 0.000
Tb: 0.836 0.201 0.671
Bi: 0.665 0.070 0.329
Bi: 0.989 0.749 0.979
Tb: 0.164 0.799 0.329
Zr: 0.500 0.000 0.000
Bi: 0.335 0.930 0.671
Tb: 0.184 0.351 0.367

Record 12
Below is an optimized crystal structure of CsTiSn3, with properties calculated at the GGA-PBE level.

Properties
Uncorrected energy in eV/atom: -2.25
ΔH_f (0 K) in meV/atom: 1904.8
Total magnetization in μB/f.u.: 0.22

Unit cell a=5.952 b=5.952 c=5.952 alpha=90.00 beta=90.00 gamma=90.00
Atoms (fractional coordinates):
Ti: 0.500 0.500 0.500
Cs: 0.000 0.000 0.000
Sn: 0.000 0.000 0.500
Sn: 0.000 0.500 0.000
Sn: 0.500 0.000 0.000

Record 13
Below is an optimized crystal structure of Ti2InHg2, with properties calculated at the GGA-PBE level.

Properties
Uncorrected energy in eV/atom: -3.69
ΔH_f (0 K) in meV/atom: 132.5
Total magnetization in μB/f.u.: 2.37

Unit cell a=7.748 b=7.748 c=3.528 alpha=90.00 beta=90.00 gamma=90.00
Each line ends with the local moment (μB).
Atoms (fractional coordinates):
Hg: 0.675 0.825 0.500  0.03
Hg: 0.325 0.175 0.500  0.03
Ti: 0.120 0.380 0.000  0.95
Ti: 0.880 0.620 0.000  0.94
In: 0.500 0.500 0.000  0.01
Ti: 0.620 0.120 0.000  0.94
Hg: 0.175 0.675 0.500  0.03
In: 0.000 0.000 0.000  0.01
Hg: 0.825 0.325 0.500  0.03
Ti: 0.380 0.880 0.000  0.94

Record 14
Below is an optimized crystal structure of Hg2BiPb, with properties calculated at the GGA-PBE level.

Properties
Uncorrected energy in eV/atom: -1.94
ΔH_f (0 K) in meV/atom: 105.7
Total magnetization in μB/f.u.: 0.00

Unit cell a=4.555 b=4.555 c=7.430 alpha=72.15 beta=72.15 gamma=60.00
Atoms (fractional coordinates):
Hg: 0.085 0.085 0.745
Hg: 0.248 0.248 0.256
Pb: 0.668 0.668 0.995
Bi: 0.499 0.499 0.504

Record 15
Below is an optimized crystal structure of Sm2DyCdO, with properties calculated at the GGA-PBE level.

Properties
Uncorrected energy in eV/atom: -5.29
E_form (uncorrected) in eV/atom: -1.3063
Total magnetization in μB/f.u.: 0.00

Unit cell a=4.777 b=4.920 c=4.920 alpha=90.00 beta=90.00 gamma=90.00
Atoms (fractional coordinates):
Cd: 0.500 0.500 0.500
Sm: 0.000 0.500 0.000
Dy: 0.500 0.000 0.000
O: 0.000 0.000 0.000
Sm: 0.000 0.000 0.500

Record 16
Below is an optimized crystal structure of TaO2F, with properties calculated at the GGA-PBE level.

Properties
Uncorrected energy in eV/atom: -7.63
E_form (uncorrected) in eV/atom: -1.7227
Total magnetization in μB/f.u.: 0.05

Unit cell a=3.209 b=3.209 c=6.517 alpha=75.75 beta=75.75 gamma=60.00
Each line ends with the local moment (μB).
Atoms (fractional coordinates):
F: 0.000 0.000 0.000  0.23
O: 0.119 0.119 0.642  0.01
O: 0.881 0.881 0.358  0.01
Ta: 0.500 0.500 0.500  -0.19

Record 17
Below is an optimized crystal structure of In4SeCl3, with properties calculated at the GGA-PBE level.

Properties
Uncorrected energy in eV/atom: -3.14
E_form (uncorrected) in eV/atom: -0.6450
Total magnetization in μB/f.u.: 0.00

Unit cell a=5.853 b=6.589 c=12.722 alpha=90.00 beta=90.00 gamma=90.00
Atoms (fractional coordinates):
In: 0.565 0.209 0.500
Cl: 0.064 0.844 0.262
In: 0.064 0.298 0.756
In: 0.565 0.230 0.000
Se: 0.064 0.265 0.000
Cl: 0.065 0.189 0.500
Cl: 0.564 0.156 0.762
Se: 0.564 0.735 0.500
In: 0.065 0.791 0.000
Cl: 0.565 0.811 0.000
In: 0.564 0.702 0.256
In: 0.564 0.702 0.744
Cl: 0.564 0.156 0.238
In: 0.064 0.298 0.244
In: 0.065 0.770 0.500
Cl: 0.064 0.844 0.738

Record 18
Below is an optimized crystal structure of CaVIr2C, with properties calculated at the GGA-PBE level.

Properties
Uncorrected energy in eV/atom: -6.78
ΔH_f (0 K) in meV/atom: 829.5
Total magnetization in μB/f.u.: 0.00

Unit cell a=4.657 b=4.657 c=4.043 alpha=90.00 beta=90.00 gamma=90.00
Atoms (fractional coordinates):
C: 0.000 0.000 0.500
Ir: 0.500 0.000 0.000
Ir: 0.000 0.500 0.000
Ca: 0.500 0.500 0.500
V: 0.000 0.000 0.000

Record 19
Below is an optimized crystal structure of Cd3Pd4Au2, with properties calculated at the GGA-PBE level.

Properties
Uncorrected energy in eV/atom: -3.59
ΔH_f (0 K) in meV/atom: -245.6
Total magnetization in μB/f.u.: 0.00

Unit cell a=4.941 b=8.254 c=8.254 alpha=73.36 beta=97.74 gamma=97.74
Atoms (fractional coordinates):
Au: 0.865 0.596 0.846
Pd: 0.472 0.071 0.819
Cd: 0.425 0.714 0.963
Pd: 0.028 0.181 0.929
Cd: 0.575 0.286 0.037
Cd: 0.075 0.037 0.286
Au: 0.365 0.846 0.596
Pd: 0.193 0.265 0.511
Cd: 0.925 0.963 0.714
Pd: 0.307 0.489 0.735
Cd: 0.250 0.624 0.376
Pd: 0.972 0.819 0.071
Pd: 0.528 0.929 0.181
Au: 0.135 0.404 0.154
Pd: 0.807 0.735 0.489
Cd: 0.750 0.376 0.624
Pd: 0.693 0.511 0.265
Au: 0.635 0.154 0.404

Record 20
Below is an optimized crystal structure of RbCe2RhS4, with properties calculated at the GGA-PBE level.

Properties
Uncorrected energy in eV/atom: -6.16
E_form (uncorrected) in eV/atom: -1.5733
Total magnetization in μB/f.u.: 0.71

Unit cell a=3.985 b=7.383 c=13.849 alpha=90.00 beta=90.00 gamma=105.66
Each line ends with the local moment (μB).
Atoms (fractional coordinates):
Ce: 0.635 0.269 0.063  0.39
S: 0.263 0.526 0.392  -0.02
S: 0.737 0.474 0.892  -0.02
Ce: 0.365 0.731 0.937  0.39
Ce: 0.365 0.731 0.563  0.39
S: 0.000 0.000 0.500  -0.02
S: 0.263 0.526 0.108  -0.02
Rh: 0.836 0.672 0.750  -0.07
S: 0.737 0.474 0.608  -0.02
Rh: 0.164 0.328 0.250  -0.07
S: 0.425 0.851 0.750  -0.01
Rb: 0.105 0.210 0.750  0.00
Rb: 0.895 0.790 0.250  0.00
S: 0.000 0.000 0.000  -0.02
S: 0.575 0.149 0.250  -0.01
Ce: 0.635 0.269 0.437  0.39